Entry 1:
A relaxed structure of CrNi2. Source: Alexandria via LeMat-Bulk, functional PBE.

```
data_CrNi2
_cell_length_a 2.970
_cell_length_b 2.970
_cell_length_c 7.639
_cell_angle_alpha 90.00
_cell_angle_beta 90.00
_cell_angle_gamma 90.00
_symmetry_space_group_name_H-M 'P 1'
_symmetry_Int_Tables_number 1
loop_
_symmetry_equiv_pos_as_xyz
'x,y,z'
loop_
_atom_site_label
_atom_site_type_symbol
_atom_site_fract_x
_atom_site_fract_y
_atom_site_fract_z
_atom_site_occupancy
Cr1 Cr 0.000 0.000 0.000 1
Cr2 Cr 0.500 0.500 0.500 1
Ni1 Ni 0.000 0.000 0.335 1
Ni2 Ni 0.000 0.000 0.665 1
Ni3 Ni 0.500 0.500 0.165 1
Ni4 Ni 0.500 0.500 0.835 1
```

E_tot: -7.00 eV/atom
Space group: I4/mmm (139)



Entry 2:
A relaxed structure of CePu2Bi. Source: Alexandria via LeMat-Bulk, functional PBE.

```
data_CePu2Bi
_cell_length_a 7.639
_cell_length_b 7.639
_cell_length_c 7.639
_cell_angle_alpha 90.00
_cell_angle_beta 90.00
_cell_angle_gamma 90.00
_symmetry_space_group_name_H-M 'P 1'
_symmetry_Int_Tables_number 1
loop_
_symmetry_equiv_pos_as_xyz
'x,y,z'
loop_
_atom_site_label
_atom_site_type_symbol
_atom_site_fract_x
_atom_site_fract_y
_atom_site_fract_z
_atom_site_occupancy
Ce1 Ce 0.000 0.000 0.000 1
Ce2 Ce 0.000 0.500 0.500 1
Ce3 Ce 0.500 0.000 0.500 1
Ce4 Ce 0.500 0.500 0.000 1
Pu1 Pu 0.250 0.250 0.250 1
Pu2 Pu 0.250 0.250 0.750 1
Pu3 Pu 0.250 0.750 0.250 1
Pu4 Pu 0.250 0.750 0.750 1
Pu5 Pu 0.750 0.250 0.250 1
Pu6 Pu 0.750 0.250 0.750 1
Pu7 Pu 0.750 0.750 0.250 1
Pu8 Pu 0.750 0.750 0.750 1
Bi1 Bi 0.000 0.000 0.500 1
Bi2 Bi 0.000 0.500 0.000 1
Bi3 Bi 0.500 0.000 0.000 1
Bi4 Bi 0.500 0.500 0.500 1
```

E above lowest polymorph: 210 meV/atom
Space group: Fm-3m (225)



Entry 3:
A relaxed structure of Mn5H12Pd3. Source: Alexandria via LeMat-Bulk, functional PBE.

```
data_Mn5H12Pd3
_cell_length_a 9.378
_cell_length_b 9.378
_cell_length_c 9.378
_cell_angle_alpha 109.47
_cell_angle_beta 109.47
_cell_angle_gamma 109.47
_symmetry_space_group_name_H-M 'P 1'
_symmetry_Int_Tables_number 1
loop_
_symmetry_equiv_pos_as_xyz
'x,y,z'
loop_
_atom_site_label
_atom_site_type_symbol
_atom_site_fract_x
_atom_site_fract_y
_atom_site_fract_z
_atom_site_occupancy
Mn1 Mn 0.000 0.000 0.000 1
Mn2 Mn 0.000 0.000 0.500 1
Mn3 Mn 0.000 0.500 0.000 1
Mn4 Mn 0.000 0.500 0.500 1
Mn5 Mn 0.125 0.750 0.875 1
Mn6 Mn 0.125 0.875 0.250 1
Mn7 Mn 0.250 0.125 0.875 1
Mn8 Mn 0.250 0.625 0.375 1
Mn9 Mn 0.375 0.250 0.625 1
Mn10 Mn 0.375 0.625 0.750 1
Mn11 Mn 0.500 0.000 0.000 1
Mn12 Mn 0.500 0.000 0.500 1
Mn13 Mn 0.500 0.500 0.000 1
Mn14 Mn 0.500 0.500 0.500 1
Mn15 Mn 0.625 0.375 0.250 1
Mn16 Mn 0.625 0.750 0.375 1
Mn17 Mn 0.750 0.375 0.625 1
Mn18 Mn 0.750 0.875 0.125 1
Mn19 Mn 0.875 0.125 0.750 1
Mn20 Mn 0.875 0.250 0.125 1
H1 H 0.039 0.203 0.134 1
H2 H 0.039 0.336 0.905 1
H3 H 0.069 0.703 0.664 1
H4 H 0.069 0.866 0.405 1
H5 H 0.095 0.634 0.431 1
H6 H 0.095 0.961 0.664 1
H7 H 0.134 0.039 0.203 1
H8 H 0.134 0.595 0.931 1
H9 H 0.164 0.203 0.569 1
H10 H 0.164 0.461 0.595 1
H11 H 0.203 0.134 0.039 1
H12 H 0.203 0.569 0.164 1
H13 H 0.297 0.336 0.931 1
H14 H 0.297 0.461 0.366 1
H15 H 0.336 0.905 0.039 1
H16 H 0.336 0.931 0.297 1
H17 H 0.366 0.297 0.461 1
H18 H 0.366 0.569 0.905 1
H19 H 0.405 0.069 0.866 1
H20 H 0.405 0.836 0.539 1
H21 H 0.431 0.095 0.634 1
H22 H 0.431 0.836 0.797 1
H23 H 0.461 0.366 0.297 1
H24 H 0.461 0.595 0.164 1
H25 H 0.539 0.405 0.836 1
H26 H 0.539 0.634 0.703 1
H27 H 0.569 0.164 0.203 1
H28 H 0.569 0.905 0.366 1
H29 H 0.595 0.164 0.461 1
H30 H 0.595 0.931 0.134 1
H31 H 0.634 0.431 0.095 1
H32 H 0.634 0.703 0.539 1
H33 H 0.664 0.069 0.703 1
H34 H 0.664 0.095 0.961 1
H35 H 0.703 0.539 0.634 1
H36 H 0.703 0.664 0.069 1
H37 H 0.797 0.431 0.836 1
H38 H 0.797 0.866 0.961 1
H39 H 0.836 0.539 0.405 1
H40 H 0.836 0.797 0.431 1
H41 H 0.866 0.405 0.069 1
H42 H 0.866 0.961 0.797 1
H43 H 0.905 0.039 0.336 1
H44 H 0.905 0.366 0.569 1
H45 H 0.931 0.134 0.595 1
H46 H 0.931 0.297 0.336 1
H47 H 0.961 0.664 0.095 1
H48 H 0.961 0.797 0.866 1
Pd1 Pd 0.125 0.250 0.375 1
Pd2 Pd 0.125 0.375 0.750 1
Pd3 Pd 0.250 0.375 0.125 1
Pd4 Pd 0.250 0.875 0.625 1
Pd5 Pd 0.375 0.125 0.250 1
Pd6 Pd 0.375 0.750 0.125 1
Pd7 Pd 0.625 0.250 0.875 1
Pd8 Pd 0.625 0.875 0.750 1
Pd9 Pd 0.750 0.125 0.375 1
Pd10 Pd 0.750 0.625 0.875 1
Pd11 Pd 0.875 0.625 0.250 1
Pd12 Pd 0.875 0.750 0.625 1
```

E_tot: -4.95 eV/atom
Space group: Ia-3d (230)



no.,size of the total moment (Bohr magnetons per cell)
1,2.43
2,59.72
3,62.83